Here is a geometry-optimized Cu2GeBi structure from Alexandria via LeMat-Bulk. Energies are from PBE.

Properties
- Energy relative to the lowest polymorph listed for this composition: 115 meV per atom
- Formation enthalpy at 0 K: 0.315 eV per atom
- DOS at the Fermi energy: 1.70 states/eV/f.u.
- V: 18.6 Å³/atom

a = 6.675 Å, b = 6.675 Å, c = 6.675 Å
α = 90.00°, β = 90.00°, γ = 90.00°
Positions (direct):
Cu 0.250 0.250 0.250
Cu 0.250 0.250 0.750
Cu 0.250 0.750 0.250
Cu 0.250 0.750 0.750
Cu 0.750 0.250 0.250
Cu 0.750 0.250 0.750
Cu 0.750 0.750 0.250
Cu 0.750 0.750 0.750
Ge 0.000 0.000 0.000
Ge 0.000 0.500 0.500
Ge 0.500 0.000 0.500
Ge 0.500 0.500 0.000
Bi 0.000 0.000 0.500
Bi 0.000 0.500 0.000
Bi 0.500 0.000 0.000
Bi 0.500 0.500 0.500



Here is a geometry-optimized OsIBr6 structure from Alexandria via LeMat-Bulk. Energies are from PBE.

Properties
- Energy relative to the elements, uncorrected: -0.075 eV per atom
- DOS at the Fermi energy: 0.51 states/eV/f.u.
- V: 42.1 Å³/atom

a = 7.636 Å, b = 7.636 Å, c = 12.308 Å
α = 98.42°, β = 98.42°, γ = 72.71°
Positions (direct):
Os 0.000 0.500 0.000
Os 0.500 0.000 0.500
I 0.027 0.973 0.250
I 0.973 0.027 0.750
Br 0.146 0.159 0.941
Br 0.159 0.146 0.441
Br 0.189 0.454 0.178
Br 0.249 0.577 0.929
Br 0.423 0.751 0.571
Br 0.454 0.189 0.678
Br 0.546 0.811 0.322
Br 0.577 0.249 0.429
Br 0.751 0.423 0.071
Br 0.811 0.546 0.822
Br 0.841 0.854 0.559
Br 0.854 0.841 0.059



Here is a geometry-optimized MnW2Se structure from Alexandria via LeMat-Bulk. Energies are from PBE.

Properties
- Energy relative to the elements, uncorrected: 0.622 eV per atom
- DOS at the Fermi energy: 2.20 states/eV/f.u.
- V: 15.9 Å³/atom

a = 3.733 Å, b = 3.733 Å, c = 4.566 Å
α = 90.00°, β = 90.00°, γ = 90.00°
Positions (direct):
Mn 0.000 0.000 0.000
W 0.000 0.500 0.500
W 0.500 0.000 0.500
Se 0.500 0.500 0.000



Here is a geometry-optimized Ba3Cu4Sb4 structure from Alexandria via LeMat-Bulk. Energies are from PBE.

Properties
- Energy relative to the elements, uncorrected: -0.568 eV per atom
- DOS at the Fermi energy: 2.18 states/eV/f.u.
- V: 27.3 Å³/atom

a = 4.644 Å, b = 4.851 Å, c = 13.726 Å
α = 79.98°, β = 80.27°, γ = 90.00°
Positions (direct):
Ba 0.000 0.000 0.000
Ba 0.344 0.847 0.311
Ba 0.656 0.153 0.689
Cu 0.098 0.600 0.801
Cu 0.250 0.231 0.499
Cu 0.750 0.769 0.501
Cu 0.902 0.400 0.199
Sb 0.199 0.685 0.603
Sb 0.445 0.444 0.112
Sb 0.555 0.556 0.888
Sb 0.801 0.315 0.397



Here is a geometry-optimized Ce2IrPb structure from Alexandria via LeMat-Bulk. Energies are from PBE.

Properties
- Energy relative to the lowest polymorph listed for this composition: 65 meV per atom
- Formation enthalpy at 0 K: -0.496 eV per atom
- DOS at the Fermi energy: 10.45 states/eV/f.u.
- V: 28.9 Å³/atom

a = 3.965 Å, b = 3.965 Å, c = 25.466 Å
α = 90.00°, β = 90.00°, γ = 120.00°
Positions (direct):
Ce 0.000 0.000 0.000
Ce 0.000 0.000 0.206
Ce 0.333 0.667 0.667
Ce 0.333 0.667 0.872
Ce 0.667 0.333 0.333
Ce 0.667 0.333 0.539
Ir 0.000 0.000 0.604
Ir 0.333 0.667 0.271
Ir 0.667 0.333 0.937
Pb 0.000 0.000 0.436
Pb 0.333 0.667 0.102
Pb 0.667 0.333 0.769



Here is a geometry-optimized Er5Tm12Th2 structure from Alexandria via LeMat-Bulk. Energies are from PBE.

Properties
- Energy relative to the lowest polymorph listed for this composition: 0 meV per atom
- Formation enthalpy at 0 K: 0.125 eV per atom
- DOS at the Fermi energy: 30.57 states/eV/f.u.
- V: 31.1 Å³/atom

a = 6.017 Å, b = 9.457 Å, c = 11.168 Å
α = 70.03°, β = 81.70°, γ = 88.72°
Positions (direct):
Er 0.000 0.000 0.000
Er 0.107 0.954 0.341
Er 0.486 0.555 0.831
Er 0.514 0.445 0.169
Er 0.893 0.046 0.659
Tm 0.035 0.691 0.653
Tm 0.084 0.310 0.048
Tm 0.173 0.321 0.727
Tm 0.378 0.913 0.785
Tm 0.422 0.814 0.100
Tm 0.431 0.187 0.486
Tm 0.569 0.813 0.514
Tm 0.578 0.186 0.900
Tm 0.622 0.087 0.215
Tm 0.827 0.679 0.273
Tm 0.916 0.690 0.952
Tm 0.965 0.309 0.347
Th 0.277 0.568 0.418
Th 0.723 0.432 0.582



Here is a geometry-optimized Tl2VPbCl6 structure from Alexandria via LeMat-Bulk. Energies are from PBE.

Properties
- Energy relative to the elements, uncorrected: -1.079 eV per atom
- V: 29.0 Å³/atom

a = 7.268 Å, b = 7.354 Å, c = 7.414 Å
α = 62.03°, β = 60.77°, γ = 61.95°
Positions (direct):
Tl 0.240 0.273 0.265
Tl 0.760 0.727 0.735
V 0.500 0.500 0.500
Pb 0.000 0.000 0.000
Cl 0.215 0.701 0.321
Cl 0.231 0.657 0.803
Cl 0.357 0.185 0.696
Cl 0.643 0.815 0.304
Cl 0.769 0.343 0.197
Cl 0.785 0.299 0.679



Here is a geometry-optimized ZnCd2Te structure from Alexandria via LeMat-Bulk. Energies are from PBE.

Properties
- Energy relative to the elements, uncorrected: 0.098 eV per atom
- Energy relative to the lowest polymorph listed for this composition: 121 meV per atom
- DOS at the Fermi energy: 1.10 states/eV/f.u.
- V: 24.1 Å³/atom

a = 3.052 Å, b = 4.281 Å, c = 7.373 Å
α = 90.00°, β = 90.00°, γ = 90.00°
Positions (direct):
Zn 0.000 0.000 0.000
Cd 0.500 0.500 0.212
Cd 0.500 0.500 0.788
Te 0.000 0.000 0.500



Here is a geometry-optimized AcLa2Co structure from Alexandria via LeMat-Bulk. Energies are from PBE.

Properties
- Energy relative to the lowest polymorph listed for this composition: 134 meV per atom
- Formation enthalpy at 0 K: 0.046 eV per atom
- DOS at the Fermi energy: 5.81 states/eV/f.u.
- V: 31.4 Å³/atom

a = 3.639 Å, b = 3.639 Å, c = 9.476 Å
α = 90.00°, β = 90.00°, γ = 90.00°
Positions (direct):
Ac 0.000 0.000 0.000
La 0.500 0.500 0.331
La 0.500 0.500 0.669
Co 0.000 0.000 0.500



Here is a geometry-optimized K2FeI2Br2 structure from Alexandria via LeMat-Bulk. Energies are from PBE.

Properties
- Energy relative to the elements, uncorrected: -0.969 eV per atom
- DOS at the Fermi energy: 1.44 states/eV/f.u.
- V: 35.4 Å³/atom

a = 16.220 Å, b = 4.456 Å, c = 7.829 Å
α = 90.00°, β = 118.84°, γ = 90.00°
Positions (direct):
K 0.156 0.000 0.155
K 0.344 0.500 0.845
K 0.656 0.500 0.155
K 0.844 0.000 0.845
Fe 0.000 0.000 0.500
Fe 0.500 0.500 0.500
I 0.001 0.500 0.254
I 0.499 0.000 0.746
I 0.501 0.000 0.254
I 0.999 0.500 0.746
Br 0.178 0.000 0.680
Br 0.322 0.500 0.320
Br 0.678 0.500 0.680
Br 0.822 0.000 0.320



Here is a geometry-optimized TaHgSCl2 structure from Alexandria via LeMat-Bulk. Energies are from PBE.

Properties
- Energy relative to the elements, uncorrected: 0.998 eV per atom
- Energy relative to the lowest polymorph listed for this composition: 1549 meV per atom
- DOS at the Fermi energy: 6.36 states/eV/f.u.
- V: 26.5 Å³/atom

a = 5.060 Å, b = 5.060 Å, c = 5.178 Å
α = 90.00°, β = 90.00°, γ = 90.00°
Positions (direct):
Ta 0.000 0.000 0.000
Hg 0.500 0.500 0.500
S 0.500 0.500 0.000
Cl 0.000 0.500 0.500
Cl 0.500 0.000 0.500



Here is a geometry-optimized Rb2MgP structure from Alexandria via LeMat-Bulk. Energies are from PBE.

Properties
- Energy relative to the lowest polymorph listed for this composition: 393 meV per atom
- Formation enthalpy at 0 K: 0.248 eV per atom
- DOS at the Fermi energy: 2.79 states/eV/f.u.
- V: 35.8 Å³/atom

a = 8.305 Å, b = 8.305 Å, c = 8.305 Å
α = 90.00°, β = 90.00°, γ = 90.00°
Positions (direct):
Rb 0.250 0.250 0.250
Rb 0.250 0.250 0.750
Rb 0.250 0.750 0.250
Rb 0.250 0.750 0.750
Rb 0.750 0.250 0.250
Rb 0.750 0.250 0.750
Rb 0.750 0.750 0.250
Rb 0.750 0.750 0.750
Mg 0.000 0.000 0.000
Mg 0.000 0.500 0.500
Mg 0.500 0.000 0.500
Mg 0.500 0.500 0.000
P 0.000 0.000 0.500
P 0.000 0.500 0.000
P 0.500 0.000 0.000
P 0.500 0.500 0.500